Here is a geometry-optimized PrSmTe structure from the Alexandria database. Energies are from PBE.

- Energy relative to the elements, uncorrected: -250.7 kJ/mol of formula units
- Total magnetic moment: 0.0 μB per formula unit
- E above lowest polymorph: 0.000 eV per atom
- E_tot: -5.079 eV/atom

Lattice parameters (Å, degrees): 7.2792 7.2792 7.1974 90.00 90.00 90.00
Space group P4/mbm (No. 127)
Unique sites:
Pr1 0.1600 0.3400 0.0000
Sm1 0.1655 0.6655 0.5000
Te1 0.0000 0.0000 0.2517



Here is a geometry-optimized Li2ZrAl structure from the Alexandria database. Energies are from PBE.

- Total magnetic moment: 0.0 μB per formula unit
- E_tot: -3.954 eV/atom

Lattice parameters (Å, degrees): 3.3029 4.5236 10.0463 90.00 90.00 90.00
Space group Cmmm (No. 65)
Unique sites:
Li1 0.0000 0.0000 0.2309
Zr1 0.0000 0.5000 0.5000
Al1 0.0000 0.5000 0.0000



Here is a geometry-optimized ZnAsCl2 structure from the Alexandria database. Energies are from PBE.

- Energy relative to the elements, uncorrected: 126.7 kJ/mol of formula units
- Total magnetic moment: 0.6 μB per formula unit
- E above lowest polymorph: 0.754 eV per atom
- E_tot: -2.076 eV/atom

Lattice parameters (Å, degrees): 6.8352 6.8352 6.8352 90.00 90.00 90.00
Space group F-43m (No. 216)
Unique sites:
Zn1 0.0000 0.0000 0.0000
As1 0.2500 0.2500 0.2500
Cl1 0.0000 0.0000 0.5000
Cl2 0.2500 0.2500 0.7500